# 1
! ZrFeSe2N | Alexandria | GGA-PBE | relaxed; values from VASP
! **Energy above the lowest structure with this stoichiometry**: 2.33 eV per formula unit
! **Formation energy without anion corrections**: 0.32 eV/atom
! **Calculated total energy**: -30.7 eV/cell
&SYSTEM
  ibrav = 0, nat = 5, ntyp = 4
/
ATOMIC_SPECIES
Zr 91.22 Zr.upf
Fe 55.84 Fe.upf
Se 78.96 Se.upf
N 14.01 N.upf
CELL_PARAMETERS angstrom
5.307 0.000 0.000
0.000 5.307 0.000
0.000 0.000 4.048
ATOMIC_POSITIONS crystal
Zr 0.000 0.000 0.000
Fe 0.500 0.500 0.500
Se 0.000 0.500 0.000
Se 0.500 0.000 0.000
N 0.000 0.000 0.500


# 2
! ZrFeSe2N | Alexandria | GGA-PBE | relaxed; values from VASP
! **Energy above the lowest structure with this stoichiometry**: 0.00 eV per formula unit
! **Formation energy without anion corrections**: -0.15 eV/atom
! **Calculated total energy**: -33.1 eV/cell
&SYSTEM
  ibrav = 0, nat = 5, ntyp = 4
/
ATOMIC_SPECIES
Zr 91.22 Zr.upf
Fe 55.84 Fe.upf
Se 78.96 Se.upf
N 14.01 N.upf
CELL_PARAMETERS angstrom
4.885 0.000 0.000
0.000 4.885 0.000
0.000 0.000 3.451
ATOMIC_POSITIONS crystal
Zr 0.000 0.000 0.000
Fe 0.500 0.500 0.500
Se 0.000 0.500 0.500
Se 0.500 0.000 0.500
N 0.500 0.500 0.000


# 3
! FeSiN | Alexandria | GGA-PBE | relaxed; values from VASP
! **Energy above the lowest structure with this stoichiometry**: 0.07 eV per formula unit
! **Formation energy without anion corrections**: -0.28 eV/atom
! **Calculated total energy**: -46.1 eV/cell
&SYSTEM
  ibrav = 0, nat = 6, ntyp = 3
/
ATOMIC_SPECIES
Fe 55.84 Fe.upf
Si 28.09 Si.upf
N 14.01 N.upf
CELL_PARAMETERS angstrom
4.206 -1.376 0.000
4.206 1.376 0.000
-2.408 0.000 5.720
ATOMIC_POSITIONS crystal
Fe 0.000 0.000 0.000
Fe 0.640 0.640 0.771
Si 0.317 0.317 0.089
Si 0.753 0.753 0.497
N 0.225 0.225 0.305
N 0.976 0.976 0.680


# 4
! FeSiN | Alexandria | GGA-PBE | relaxed; values from VASP
! **Energy above the lowest structure with this stoichiometry**: 0.16 eV per formula unit
! **Formation energy without anion corrections**: -0.25 eV/atom
! **Calculated total energy**: -45.9 eV/cell
&SYSTEM
  ibrav = 0, nat = 6, ntyp = 3
/
ATOMIC_SPECIES
Fe 55.84 Fe.upf
Si 28.09 Si.upf
N 14.01 N.upf
CELL_PARAMETERS angstrom
4.029 0.000 0.000
0.000 2.715 0.000
-0.261 0.000 6.132
ATOMIC_POSITIONS crystal
Fe 0.000 0.000 0.000
Fe 0.446 0.500 0.795
Si 0.499 0.500 0.155
Si 0.753 0.000 0.586
N 0.151 0.000 0.707
N 0.694 0.000 0.297


What is the calculated total energy in the third record?
-46.1 eV/cell